Material: Fe3OF5
Method: DFT, PBE with a Hubbard U
State: relaxed

Properties
Total magnetic moment = 13.0 μB per formula unit
Raw total energy = -5.682 eV/atom
Symmetry = Cm, No. 8
Calculated volume = 12.5 Å³ per atom

The structure in POSCAR format:
```
Fe3OF5
1.0
-0.8712 0.7587 -5.6717
-5.2207 -2.1616 -1.2550
-4.5451 5.8762 -0.5906
F Fe O
10 6 2
direct
0.0381 0.6406 0.6684
0.7525 0.7525 0.0528
0.1057 0.1057 0.6983
0.8877 0.8877 0.3093
0.3746 0.9787 0.3252
0.4435 0.4435 0.3424
0.6844 0.2914 0.0085
0.6406 0.0381 0.6684
0.2914 0.6844 0.0085
0.9787 0.3746 0.3252
0.6589 0.6589 0.3506
0.3251 0.3251 0.1442
0.3441 0.3441 0.6848
0.6650 0.6650 0.8232
0.0020 0.0020 0.5049
0.0023 0.0023 0.0017
0.5790 0.5790 0.6104
0.2265 0.2265 0.9736
```